# 1
Material: SnHg3
Method: DFT, PBE-GGA
State: relaxed

Cell: 5.8572 5.8572 5.8572 Å, 133.69 133.69 67.57°
With the nearest neighbours (Å) after each atom.
Sites, in units of the cell vectors:
Sn 0.0000 0.0000 0.0000  12 Hg 3.26-3.35
Hg 0.2500 0.7500 0.5000  8 Hg 3.26-3.35, 4 Sn 3.35
Hg 0.5000 0.5000 0.0000  4 Sn 3.26, 8 Hg 3.35
Hg 0.7500 0.2500 0.5000  8 Hg 3.26-3.35, 4 Sn 3.35

Computed properties:
Mass density, g cm⁻³: 11.58
SG: No. 139
Energy of formation from the pure elements, eV/atom: 0.0758
Final energy, eV per atom: -1.15

=====

# 2
Material: Sn2Hg3
Method: DFT, PBE-GGA
State: relaxed

Cell: 14.3849 14.3849 14.3849 Å, 13.31 13.31 13.31°
With the nearest neighbours (Å) after each atom.
Sites, in units of the cell vectors:
Sn 0.1990 0.1990 0.1990  9 Sn 3.33-3.37, 3 Hg 3.50
Sn 0.8010 0.8010 0.8010  9 Sn 3.33-3.37, 3 Hg 3.50
Hg 0.0000 0.0000 0.0000  12 Hg 3.33-3.42
Hg 0.3994 0.3994 0.3994  9 Hg 3.33-3.42, 3 Sn 3.50
Hg 0.6006 0.6006 0.6006  9 Hg 3.33-3.42, 3 Sn 3.50

Computed properties:
Mass density, g cm⁻³: 10.15
SG: No. 166
Energy of formation from the pure elements, eV/atom: 0.0603
Energy above the most stable polymorph in this dataset, meV per atom: 0
Final energy, eV per atom: -1.72

=====

# 3
Material: SnHg8
Method: DFT, PBE-GGA
State: relaxed

Cell: 5.3052 6.7277 7.5245 Å, 108.98 90.85 98.43°
With the nearest neighbours (Å) after each atom.
Sites, in units of the cell vectors:
Sn 0.0000 0.0000 0.0000  6 Hg 2.98-3.05
Hg 0.1410 0.6428 0.3896  8 Hg 3.13-3.35
Hg 0.2798 0.6227 0.9548  1 Sn 3.05, 7 Hg 3.16-3.37
Hg 0.2941 0.1309 0.7057  1 Sn 3.01, 7 Hg 3.12-3.35
Hg 0.3733 0.2254 0.3289  1 Sn 2.98, 5 Hg 3.12-3.16
Hg 0.6267 0.7746 0.6711  1 Sn 2.98, 5 Hg 3.12-3.16
Hg 0.7059 0.8691 0.2943  1 Sn 3.01, 7 Hg 3.12-3.35
Hg 0.7202 0.3773 0.0452  1 Sn 3.05, 7 Hg 3.16-3.37
Hg 0.8590 0.3572 0.6104  8 Hg 3.13-3.35

Computed properties:
Mass density, g cm⁻³: 11.42
SG: No. 2
Energy of formation from the pure elements, eV/atom: 0.0381
Final energy, eV per atom: -0.67